! VCr3Os, relaxed, DFT PBE; values from VASP
&SYSTEM
  ibrav = 0, nat = 10, ntyp = 3
/
ATOMIC_SPECIES
V 50.94 V.upf
Cr 52.00 Cr.upf
Os 190.23 Os.upf
CELL_PARAMETERS angstrom
2.797 0.000 0.000
1.213 5.212 0.000
1.158 1.219 8.748
ATOMIC_POSITIONS crystal
V 0.206 0.194 0.424
V 0.794 0.806 0.576
Cr 0.013 0.436 0.162
Cr 0.158 0.997 0.788
Cr 0.424 0.779 0.023
Cr 0.576 0.221 0.977
Cr 0.842 0.003 0.212
Cr 0.987 0.564 0.838
Os 0.436 0.653 0.357
Os 0.564 0.347 0.643
! Electronic total energy = -97.64 eV/cell